Entry 1:
The following is a PBE+U calculation of crystalline BeFeRhF2 at its relaxed geometry, from the Alexandria database.

Properties
calculated total energy	-4.770	eV per atom

The structure in POSCAR format:
```
BeFeRhF2
1.0
3.6914 0.0000 0.0000
0.0000 3.6914 0.0000
0.0000 0.0000 5.6961
Be Fe Rh F
1 1 1 2
direct
0.0000 0.0000 0.0000
0.5000 0.5000 0.5000
0.5000 0.5000 0.0000
0.0000 0.5000 0.5000
0.5000 0.0000 0.5000
```

Entry 2:
The following is a PBE+U calculation of crystalline BeFe2RuF at its relaxed geometry, from the Alexandria database.

Properties
calculated total energy	-4.454	eV per atom

The structure in POSCAR format:
```
BeFe2RuF
1.0
4.0253 0.0000 0.0000
0.0000 4.0253 0.0000
0.0000 0.0000 4.2795
Be Fe Ru F
1 2 1 1
direct
0.0000 0.0000 0.0000
0.0000 0.5000 0.5000
0.5000 0.0000 0.5000
0.5000 0.5000 0.0000
0.5000 0.5000 0.5000
```

Entry 3:
The following is a PBE+U calculation of crystalline BeFeRuF2 at its relaxed geometry, from the Alexandria database.

Properties
calculated total energy	-4.855	eV per atom

The structure in POSCAR format:
```
BeFeRuF2
1.0
3.6934 0.0000 0.0000
0.0000 3.6934 0.0000
0.0000 0.0000 6.3949
Be Fe Ru F
1 1 1 2
direct
0.0000 0.0000 0.0000
0.0000 0.0000 0.5000
0.5000 0.5000 0.0000
0.0000 0.5000 0.5000
0.5000 0.0000 0.5000
```

Entry 4:
The following is a PBE+U calculation of crystalline Be2FeTcF at its relaxed geometry, from the Alexandria database.

Properties
calculated total energy	-4.554	eV per atom

The structure in POSCAR format:
```
Be2FeTcF
1.0
4.3415 0.0000 0.0000
0.0000 4.3415 0.0000
0.0000 0.0000 3.9802
Be Fe Tc F
2 1 1 1
direct
0.0000 0.5000 0.0000
0.5000 0.0000 0.0000
0.0000 0.0000 0.5000
0.5000 0.5000 0.0000
0.5000 0.5000 0.5000
```